# 1
First-principles (PBE) data for a geometry-optimized Hg3MoI structure, as listed in Alexandria.

```
data_Hg3MoI
_symmetry_space_group_name_H-M 'P m -3 m'
_symmetry_Int_Tables_number 221
_symmetry_space_group_name_Hall '-P 4 2 3'
_cell_length_a 5.619
_cell_length_b 5.619
_cell_length_c 5.619
_cell_angle_alpha 90.00
_cell_angle_beta 90.00
_cell_angle_gamma 90.00
loop_
_atom_site_label
_atom_site_type_symbol
_atom_site_fract_x
_atom_site_fract_y
_atom_site_fract_z
Hg1 Hg 0.000 0.000 0.500
Mo1 Mo 0.000 0.000 0.000
I1 I 0.500 0.500 0.500
```

Results
Energy above the most stable polymorph in this dataset: 0 meV/atom
Magnetic moment: 4.20 μB/f.u.
DOS(E_F): 2.779 states/eV/cell
Calculated total energy: -2.030 eV/atom
Formation energy (no corrections): 0.6275 eV/atom

---

# 2
First-principles (PBE) data for a geometry-optimized HgMo2I2 structure, as listed in Alexandria.

```
data_HgMo2I2
_symmetry_space_group_name_H-M 'I 4/m m m'
_symmetry_Int_Tables_number 139
_symmetry_space_group_name_Hall '-I 4 2'
_cell_length_a 5.727
_cell_length_b 5.727
_cell_length_c 8.403
_cell_angle_alpha 90.00
_cell_angle_beta 90.00
_cell_angle_gamma 90.00
loop_
_atom_site_label
_atom_site_type_symbol
_atom_site_fract_x
_atom_site_fract_y
_atom_site_fract_z
Hg1 Hg 0.000 0.000 0.000
Mo1 Mo 0.000 0.000 0.378
I1 I 0.000 0.500 0.250
```

Results
Energy above the most stable polymorph in this dataset: 0 meV/atom
Magnetic moment: 0.00 μB/f.u.
DOS(E_F): 7.189 states/eV/cell
Calculated total energy: -4.326 eV/atom
Formation energy (no corrections): 0.6872 eV/atom

---

# 3
First-principles (PBE) data for a geometry-optimized HgMoI2N structure, as listed in Alexandria.

```
data_HgMoI2N
_symmetry_space_group_name_H-M 'P 4/m m m'
_symmetry_Int_Tables_number 123
_symmetry_space_group_name_Hall '-P 4 2'
_cell_length_a 5.770
_cell_length_b 5.770
_cell_length_c 3.858
_cell_angle_alpha 90.00
_cell_angle_beta 90.00
_cell_angle_gamma 90.00
loop_
_atom_site_label
_atom_site_type_symbol
_atom_site_fract_x
_atom_site_fract_y
_atom_site_fract_z
Hg1 Hg 0.000 0.000 0.000
Mo1 Mo 0.500 0.500 0.500
I1 I 0.000 0.500 0.500
N1 N 0.500 0.500 0.000
```

Results
Energy above the most stable polymorph in this dataset: 0 meV/atom
Magnetic moment: 0.99 μB/f.u.
DOS(E_F): 2.853 states/eV/cell
Calculated total energy: -4.275 eV/atom
Formation energy (no corrections): 0.2369 eV/atom

---

# 4
First-principles (PBE) data for a geometry-optimized HgMoI2N structure, as listed in Alexandria.

```
data_HgMoI2N
_symmetry_space_group_name_H-M 'P 4/m m m'
_symmetry_Int_Tables_number 123
_symmetry_space_group_name_Hall '-P 4 2'
_cell_length_a 6.218
_cell_length_b 6.218
_cell_length_c 3.941
_cell_angle_alpha 90.00
_cell_angle_beta 90.00
_cell_angle_gamma 90.00
loop_
_atom_site_label
_atom_site_type_symbol
_atom_site_fract_x
_atom_site_fract_y
_atom_site_fract_z
Hg1 Hg 0.000 0.000 0.000
Mo1 Mo 0.500 0.500 0.500
I1 I 0.000 0.500 0.000
N1 N 0.000 0.000 0.500
```

Results
Energy above the most stable polymorph in this dataset: 1382 meV/atom
Magnetic moment: 4.57 μB/f.u.
DOS(E_F): 6.781 states/eV/cell
Calculated total energy: -2.893 eV/atom
Formation energy (no corrections): 1.6185 eV/atom